Material: Gd2YHo
Method: DFT, PBE-GGA
State: optimized geometry

abc: 3.564 3.564 10.076
angles: 90.00 90.00 90.00
Each line ends with the local moment (μB).
Sites, in units of the cell vectors:
1 Gd 0.000 0.000 0.247  7.12
2 Gd 0.000 0.000 0.753  7.12
3 Y 0.500 0.500 0.500  -0.07
4 Ho 0.500 0.500 0.000  -0.06

Properties
- Energy above the lowest structure with this stoichiometry: 2 meV/atom
- Energy of formation from the pure elements: 29 meV/atom
- DFT total energy: -9.77 eV/atom
- N(E_F): 7.3 states/eV/cell

Material: InCuW2
Method: DFT, PBE-GGA
State: optimized geometry

abc: 9.419 9.419 9.419
angles: 17.54 17.54 17.54
Sites, in units of the cell vectors:
1 W 0.506 0.506 0.506
2 W 0.994 0.994 0.994
3 In 0.750 0.750 0.750
4 Cu 0.250 0.250 0.250

Properties
- Energy of formation from the pure elements: 638 meV/atom
- DFT total energy: -7.55 eV/atom
- N(E_F): 3.7 states/eV/cell

Material: LiAcN
Method: DFT, PBE-GGA
State: optimized geometry

abc: 3.891 3.891 8.434
angles: 90.00 90.00 90.00
Sites, in units of the cell vectors:
1 N 0.000 0.500 0.361
2 N 0.500 0.000 0.639
3 Ac 0.500 0.000 0.342
4 Ac 0.000 0.500 0.658
5 Li 0.000 0.500 0.111
6 Li 0.500 0.000 0.889

Properties
- Energy above the lowest structure with this stoichiometry: 0 meV/atom
- Uncorrected formation energy: -71.4 kJ/mol of atoms
- DFT total energy: -5.52 eV/atom
- N(E_F): 2.5 states/eV/cell

Material: CaTaC2
Method: DFT, PBE-GGA
State: optimized geometry

abc: 4.117 4.117 4.117
angles: 60.00 60.00 60.00
Sites, in units of the cell vectors:
1 Ta 0.500 0.500 0.500
2 C 0.250 0.250 0.250
3 C 0.750 0.750 0.750
4 Ca 0.000 0.000 0.000

Properties
- Energy above the lowest structure with this stoichiometry: 1160 meV/atom
- Energy of formation from the pure elements: 1162 meV/atom
- DFT total energy: -6.91 eV/atom
- N(E_F): 3.3 states/eV/cell